# 1
Compound: Nb4Pb3O13
Source: Alexandria
Functional: SCAN
Structure: single point on PBEsol structure

Structure (CIF):
```
data_Nb4Pb3O13
_space_group_name_H-M_alt 'P m m a'
_space_group_IT_number 51
_cell_length_a 7.507
_cell_length_b 7.499
_cell_length_c 10.623
_cell_angle_alpha 90.00
_cell_angle_beta 90.00
_cell_angle_gamma 90.00
loop_
_space_group_symop_operation_xyz
'x,y,z'
'-x,-y,-z'
'-x+1/2,-y,z'
'x+1/2,y,-z'
'x+1/2,-y,-z'
'-x+1/2,y,z'
'-x,y,-z'
'x,-y,z'
loop_
_atom_site_label
_atom_site_type_symbol
_atom_site_fract_x
_atom_site_fract_y
_atom_site_fract_z
Nb1 Nb 0.000 0.000 0.000
Nb2 Nb 0.000 0.500 0.500
Nb3 Nb 0.250 0.249 0.252
Pb1 Pb 0.000 0.500 0.000
Pb2 Pb 0.250 0.249 0.738
O1 O 0.056 0.193 0.125
O2 O 0.060 0.316 0.372
O3 O 0.250 0.000 0.299
O4 O 0.250 0.000 0.937
O5 O 0.250 0.500 0.177
O6 O 0.250 0.500 0.566
O7 O 0.250 0.500 0.847
```

Its total energy is -24.387 eV/atom. Its density of states at the Fermi level is 0.0 states/eV per cell. As for the energy above the lowest structure with this stoichiometry: 0.000 eV/atom. The value obtained for the calculated density is 6.671 g/cm3. The calculation puts the total moment at 0.00 μB/f.u.

=====

# 2
Compound: Nb8Pb6O25
Source: Alexandria
Functional: SCAN
Structure: single point on PBEsol structure

Structure (CIF):
```
data_Nb8Pb6O25
_space_group_name_H-M_alt 'C 1 2 1'
_space_group_IT_number 5
_cell_length_a 10.573
_cell_length_b 10.715
_cell_length_c 10.542
_cell_angle_alpha 90.00
_cell_angle_beta 90.08
_cell_angle_gamma 90.00
loop_
_space_group_symop_operation_xyz
'x,y,z'
'-x,y,-z'
'x+1/2,y+1/2,z'
'-x+1/2,y+1/2,-z'
loop_
_atom_site_label
_atom_site_type_symbol
_atom_site_fract_x
_atom_site_fract_y
_atom_site_fract_z
Nb1 Nb 0.119 0.000 0.376
Nb2 Nb 0.127 0.752 0.127
Nb3 Nb 0.129 0.252 0.627
Nb4 Nb 0.129 0.503 0.881
Pb1 Pb 0.106 0.244 0.110
Pb2 Pb 0.124 0.748 0.629
Pb3 Pb 0.131 0.503 0.365
O1 O 0.000 0.304 0.500
O2 O 0.000 0.429 0.000
O3 O 0.000 0.613 0.198
O4 O 0.000 0.623 0.500
O5 O 0.000 0.790 0.000
O6 O 0.000 0.918 0.500
O7 O 0.002 0.120 0.316
O8 O 0.060 0.363 0.753
O9 O 0.060 0.863 0.255
O10 O 0.191 0.618 0.000
O11 O 0.195 0.114 0.501
O12 O 0.242 0.675 0.259
O13 O 0.243 0.360 0.935
O14 O 0.249 0.049 0.251
O15 O 0.249 0.867 0.447
```

Its total energy is -24.770 eV/atom. The value obtained for the calculated density is 6.636 g/cm3. The calculation puts the total moment at 0.00 μB/f.u.

=====

# 3
Compound: Nb4Pb3O13
Source: Alexandria
Functional: SCAN
Structure: single point on PBEsol structure

Structure (CIF):
```
data_Nb4Pb3O13
_space_group_name_H-M_alt 'R 3 m'
_space_group_IT_number 160
_space_group_name_Hall 'R 3 -2"'
_cell_length_a 7.5165
_cell_length_b 7.5165
_cell_length_c 18.5270
_cell_angle_alpha 90.00
_cell_angle_beta 90.00
_cell_angle_gamma 120.00
loop_
_atom_site_label
_atom_site_type_symbol
_atom_site_fract_x
_atom_site_fract_y
_atom_site_fract_z
Nb1 Nb 0.0000 0.0000 0.0000
Nb2 Nb 0.1676 0.3352 0.8341
Pb1 Pb 0.0084 0.5042 0.9920
O1 O 0.0000 0.0000 0.3553
O2 O 0.0741 0.5371 0.6143
O3 O 0.0866 0.5433 0.8649
O4 O 0.2091 0.4183 0.7351
O5 O 0.2122 0.4244 0.4893
```

Its total energy is -24.378 eV/atom. Its density of states at the Fermi level is 0.0 states/eV per cell. As for the energy above the lowest structure with this stoichiometry: 0.009 eV/atom. The value obtained for the calculated density is 6.601 g/cm3. The calculation puts the total moment at 0.00 μB/f.u.

=====

# 4
Compound: Nb6Pb10O25
Source: Alexandria
Functional: SCAN
Structure: single point on PBEsol structure

Structure (CIF):
```
data_Nb6Pb10O25
_space_group_name_H-M_alt 'P 1 m 1'
_space_group_IT_number 6
_cell_length_a 7.581
_cell_length_b 7.579
_cell_length_c 10.928
_cell_angle_alpha 90.00
_cell_angle_beta 90.88
_cell_angle_gamma 90.00
loop_
_space_group_symop_operation_xyz
'x,y,z'
'x,-y,z'
loop_
_atom_site_label
_atom_site_type_symbol
_atom_site_fract_x
_atom_site_fract_y
_atom_site_fract_z
Nb1 Nb 0.000 0.000 0.000
Nb2 Nb 0.251 0.254 0.753
Nb3 Nb 0.503 0.500 0.502
Nb4 Nb 0.765 0.243 0.254
Pb1 Pb 0.021 0.500 0.996
Pb2 Pb 0.037 0.000 0.508
Pb3 Pb 0.247 0.235 0.262
Pb4 Pb 0.494 0.000 0.010
Pb5 Pb 0.499 0.500 0.996
Pb6 Pb 0.519 0.000 0.484
Pb7 Pb 0.744 0.256 0.753
Pb8 Pb 0.977 0.500 0.499
O1 O 0.038 0.290 0.661
O2 O 0.073 0.195 0.899
O3 O 0.239 0.000 0.102
O4 O 0.246 0.500 0.831
O5 O 0.258 0.000 0.721
O6 O 0.277 0.500 0.424
O7 O 0.411 0.305 0.625
O8 O 0.451 0.219 0.884
O9 O 0.565 0.213 0.141
O10 O 0.604 0.310 0.405
O11 O 0.701 0.500 0.630
O12 O 0.707 0.000 0.318
O13 O 0.761 0.000 0.942
O14 O 0.764 0.500 0.889
O15 O 0.783 0.500 0.234
O16 O 0.936 0.193 0.129
O17 O 0.979 0.223 0.368
```

Its total energy is -29.088 eV/atom. The value obtained for the calculated density is 8.013 g/cm3. The calculation puts the total moment at 0.00 μB/f.u.

=====

> What is the calculated density in the first record?

6.671 g/cm3